Computed, not measured: a crystal of Ba3SiC relaxed with PBEsol at the meta-GGA SCAN level of DFT.

Cell and atoms, written as POSCAR:
```
Ba3SiC
1.0
-3.752 3.220 3.790
1.708 -3.625 4.771
4.671 3.912 1.300
Si Ba C
1 3 1
direct
0.000 0.000 0.000
0.000 0.500 0.000
0.500 0.000 0.000
0.000 0.000 0.500
0.500 0.500 0.500
```

## Properties
* energy: -26.706 eV per atom
* formation energy from raw total energies: 1.047 eV per atom

=====

Computed, not measured: a crystal of BaSiSnC2 relaxed with PBEsol at the meta-GGA SCAN level of DFT.

Cell and atoms, written as POSCAR:
```
BaSiSnC2
1.0
-0.759 4.118 -1.614
-3.126 0.659 3.152
3.590 1.901 3.163
Si Sn C Ba
1 1 2 1
direct
0.000 0.000 0.500
0.000 0.000 0.000
0.000 0.500 0.000
0.500 0.000 0.000
0.500 0.500 0.500
```

## Properties
* energy: -19.384 eV per atom
* formation energy from raw total energies: 1.753 eV per atom

=====

Computed, not measured: a crystal of BaSn3C relaxed with PBEsol at the meta-GGA SCAN level of DFT.

Cell and atoms, written as POSCAR:
```
BaSn3C
1.0
-2.291 -3.259 2.983
2.057 -3.760 -2.529
3.910 0.069 3.079
Sn Ba C
3 1 1
direct
0.000 0.500 0.000
0.500 0.000 0.000
0.000 0.000 0.500
0.500 0.500 0.500
0.000 0.000 0.000
```

## Properties
* energy of formation: 0.610 eV/atom
* energy: -30.872 eV per atom

=====

Computed, not measured: a crystal of Ba2TlSnC relaxed with PBEsol at the meta-GGA SCAN level of DFT.

Cell and atoms, written as POSCAR:
```
Ba2TlSnC
1.0
-3.589 -0.627 -3.987
-4.778 -0.982 4.454
-1.242 6.487 0.098
Ba Tl C Sn
2 1 1 1
direct
0.000 0.500 0.000
0.000 0.000 0.500
0.500 0.000 0.000
0.500 0.500 0.500
0.000 0.000 0.000
```

## Properties
* energy of formation: 0.979 eV/atom
* energy: -38.517 eV per atom

=====

Computed, not measured: a crystal of BaZn2TeC relaxed with PBEsol at the meta-GGA SCAN level of DFT.

Cell and atoms, written as POSCAR:
```
BaZn2TeC
1.0
-1.103 -4.349 -1.336
4.840 -0.189 -3.381
3.087 -2.178 4.541
Te Zn C Ba
1 2 1 1
direct
0.500 0.500 0.500
0.000 0.500 0.000
0.000 0.000 0.500
0.500 0.000 0.000
0.000 0.000 0.000
```

## Properties
* energy: -21.175 eV per atom
* formation energy from raw total energies: 1.612 eV per atom

=====

Computed, not measured: a crystal of BaTi2C relaxed with PBEsol at the meta-GGA SCAN level of DFT.

Cell and atoms, written as POSCAR:
```
BaTi2C
1.0
-3.332 -5.505 0.544
3.095 -5.668 -0.071
0.428 -3.513 5.402
Ti C Ba
4 2 2
direct
0.625 0.125 0.625
0.625 0.625 0.625
0.625 0.625 0.125
0.125 0.625 0.625
0.500 0.500 0.500
0.750 0.750 0.750
0.000 0.000 0.000
0.250 0.250 0.250
```

## Properties
* energy of formation: 0.232 eV/atom
* energy: -20.195 eV per atom

=====

Computed, not measured: a crystal of BaYC3 relaxed with PBEsol at the meta-GGA SCAN level of DFT.

Cell and atoms, written as POSCAR:
```
BaYC3
1.0
-4.127 -1.724 0.192
0.745 -2.209 -3.821
1.566 -3.491 2.324
C Y Ba
3 1 1
direct
0.000 0.500 0.000
0.000 0.000 0.500
0.500 0.000 0.000
0.500 0.500 0.500
0.000 0.000 0.000
```

## Properties
* energy of formation: 2.664 eV/atom
* energy: -16.874 eV per atom

=====

Computed, not measured: a crystal of BaY2C relaxed with PBEsol at the meta-GGA SCAN level of DFT.

Cell and atoms, written as POSCAR:
```
BaY2C
1.0
-6.967 0.580 2.470
-1.450 -0.802 7.227
-2.020 5.873 4.050
C Y Ba
2 4 2
direct
0.000 0.000 0.000
0.250 0.250 0.250
0.125 0.125 0.125
0.625 0.125 0.125
0.125 0.125 0.625
0.125 0.625 0.125
0.500 0.500 0.500
0.750 0.750 0.750
```

## Properties
* energy of formation: 0.100 eV/atom
* energy: -26.234 eV per atom

=====

Computed, not measured: a crystal of BaZn3C relaxed with PBEsol at the meta-GGA SCAN level of DFT.

Cell and atoms, written as POSCAR:
```
BaZn3C
1.0
4.561 0.000 0.000
0.000 4.561 0.000
0.000 0.000 4.561
C Zn Ba
1 3 1
direct
0.000 0.000 0.000
0.500 0.000 0.000
0.000 0.000 0.500
0.000 0.500 0.000
0.500 0.500 0.500
```

## Properties
* energy of formation: 0.758 eV/atom
* energy: -17.281 eV per atom

=====

Computed, not measured: a crystal of BaZr3C relaxed with PBEsol at the meta-GGA SCAN level of DFT.

Cell and atoms, written as POSCAR:
```
BaZr3C
1.0
-1.082 -4.039 2.198
4.596 -0.877 0.649
-0.147 2.287 4.131
Zr Ba C
3 1 1
direct
0.000 0.500 0.000
0.500 0.000 0.000
0.000 0.000 0.500
0.500 0.500 0.500
0.000 0.000 0.000
```

## Properties
* energy of formation: 0.301 eV/atom
* energy: -28.048 eV per atom

=====

Computed, not measured: a crystal of Ba3ZrC relaxed with PBEsol at the meta-GGA SCAN level of DFT.

Cell and atoms, written as POSCAR:
```
Ba3ZrC
1.0
-3.234 -4.640 -0.347
1.920 -1.716 5.048
-4.238 2.764 2.551
Ba Zr C
3 1 1
direct
0.000 0.500 0.000
0.000 0.000 0.500
0.500 0.000 0.000
0.500 0.500 0.500
0.000 0.000 0.000
```

## Properties
* energy of formation: 0.887 eV/atom
* energy: -31.003 eV per atom

=====

Computed, not measured: a crystal of Ba5Ca relaxed with PBEsol at the meta-GGA SCAN level of DFT.

Cell and atoms, written as POSCAR:
```
Ba5Ca
1.0
4.265 0.000 0.000
0.000 6.961 0.000
-2.132 0.000 11.056
Ba Ca
5 1
direct
0.001 0.000 0.003
0.773 0.500 0.546
0.449 0.500 0.898
0.664 0.000 0.328
0.334 0.000 0.668
0.111 0.500 0.223
```

## Properties
* energy of formation: 0.038 eV/atom
* energy: -34.531 eV per atom
* offset from the most stable computed form: 20.5 meV per atom

=====

Computed, not measured: a crystal of Ba2Ca relaxed with PBEsol at the meta-GGA SCAN level of DFT.

Cell and atoms, written as POSCAR:
```
Ba2Ca
1.0
4.705 0.000 0.000
0.000 4.705 0.000
-2.352 -2.352 7.052
Ca Ba
1 2
direct
0.000 0.000 0.000
0.342 0.342 0.684
0.658 0.658 0.316
```

## Properties
* energy of formation: 0.041 eV/atom
* energy: -29.547 eV per atom
* offset from the most stable computed form: 6.0 meV per atom

=====

Computed, not measured: a crystal of BaCa2 relaxed with PBEsol at the meta-GGA SCAN level of DFT.

Cell and atoms, written as POSCAR:
```
BaCa2
1.0
4.028 0.000 0.000
-2.014 7.557 -0.013
0.000 -2.485 9.121
Ca Ba
4 2
direct
0.299 0.599 0.856
0.352 0.705 0.470
0.701 0.401 0.144
0.648 0.295 0.530
0.028 0.056 0.799
0.972 0.944 0.201
```

## Properties
* energy of formation: 0.038 eV/atom
* energy: -19.588 eV per atom
* offset from the most stable computed form: 1.0 meV per atom

=====

Computed, not measured: a crystal of BaCa relaxed with PBEsol at the meta-GGA SCAN level of DFT.

Cell and atoms, written as POSCAR:
```
BaCa
1.0
4.059 0.000 0.000
-2.030 3.516 0.000
0.000 0.000 6.741
Ba Ca
1 1
direct
0.000 0.000 0.000
0.333 0.667 0.500
```

## Properties
* energy of formation: 0.075 eV/atom
* energy: -24.532 eV per atom
* offset from the most stable computed form: 47.1 meV per atom

=====

Computed, not measured: a crystal of BaCa2 relaxed with PBEsol at the meta-GGA SCAN level of DFT.

Cell and atoms, written as POSCAR:
```
BaCa2
1.0
-1.012 1.938 3.154
-5.940 -2.274 -0.509
4.366 -3.207 3.372
Ca Ba
2 1
direct
0.348 0.333 0.667
0.652 0.667 0.333
0.000 0.000 0.000
```

## Properties
* energy of formation: 0.050 eV/atom
* energy: -19.575 eV per atom
* offset from the most stable computed form: 13.9 meV per atom

=====

Computed, not measured: a crystal of BaCa2 relaxed with PBEsol at the meta-GGA SCAN level of DFT.

Cell and atoms, written as POSCAR:
```
BaCa2
1.0
-5.650 -2.915 -1.230
5.155 -1.226 -3.723
1.946 -5.701 4.573
Ca Ba
4 2
direct
0.667 0.333 0.750
0.333 0.667 0.250
0.000 0.000 0.000
0.000 0.000 0.500
0.667 0.333 0.250
0.333 0.667 0.750
```

## Properties
* energy of formation: 0.079 eV/atom
* energy: -19.547 eV per atom
* offset from the most stable computed form: 42.6 meV per atom

=====

Computed, not measured: a crystal of BaCa3 relaxed with PBEsol at the meta-GGA SCAN level of DFT.

Cell and atoms, written as POSCAR:
```
BaCa3
1.0
-3.117 0.592 3.212
2.342 -4.850 3.166
3.866 3.852 3.042
Ca Ba
3 1
direct
0.500 0.500 0.000
0.000 0.500 0.500
0.500 0.000 0.500
0.000 0.000 0.000
```

## Properties
* energy of formation: 0.052 eV/atom
* energy: -17.083 eV per atom

=====

Computed, not measured: a crystal of Ba2Ca relaxed with PBEsol at the meta-GGA SCAN level of DFT.

Cell and atoms, written as POSCAR:
```
Ba2Ca
1.0
-3.620 -0.977 -4.908
6.247 -3.745 -3.861
-3.548 -10.843 4.776
Ba Ca
8 4
direct
0.250 0.637 0.917
0.250 0.137 0.583
0.750 0.887 0.754
0.750 0.387 0.746
0.750 0.863 0.417
0.250 0.613 0.254
0.750 0.363 0.083
0.250 0.113 0.246
0.250 0.630 0.581
0.250 0.130 0.919
0.750 0.870 0.081
0.750 0.370 0.419
```

## Properties
* energy of formation: 0.050 eV/atom
* energy: -29.538 eV per atom
* offset from the most stable computed form: 14.4 meV per atom

=====

Computed, not measured: a crystal of Ba17Ca12 relaxed with PBEsol at the meta-GGA SCAN level of DFT.

Cell and atoms, written as POSCAR:
```
Ba17Ca12
1.0
-4.408 -11.524 1.914
12.387 -0.477 -1.496
-2.730 7.188 9.838
Ba Ca
17 12
direct
0.000 0.000 0.000
0.000 0.315 0.594
0.315 0.000 0.594
0.000 0.356 0.000
0.722 0.406 0.406
0.594 0.315 0.000
0.000 0.000 0.356
0.356 0.000 0.000
0.594 0.000 0.315
0.000 0.594 0.315
0.406 0.722 0.406
0.644 0.644 0.644
0.685 0.685 0.278
0.315 0.594 0.000
0.685 0.278 0.685
0.406 0.406 0.722
0.278 0.685 0.685
0.000 0.632 0.816
0.184 0.184 0.816
0.816 0.000 0.632
0.816 0.632 0.000
0.368 0.184 0.368
0.000 0.816 0.632
0.632 0.000 0.816
0.368 0.368 0.184
0.816 0.184 0.184
0.184 0.816 0.184
0.632 0.816 0.000
0.184 0.368 0.368
```

## Properties
* energy of formation: 0.056 eV/atom
* energy: -27.127 eV per atom